YZrW2 PBEsol relaxed; ρ = 12.1 g/cm3; DFT formation energy = 0.513 eV/atom; relative energy among the computed polymorphs = 143.5 meV/atom; V = 75.0 Å³/f.u.; N(E_F) = 1.11 states/eV per atom; total energy = -10.37 eV per atom
1.0
3.270 0.000 0.000
0.000 4.723 0.000
0.000 0.000 4.855
Y Zr W
1 1 2
Cartesian
0.000 0.000 0.000
1.635 2.362 0.000
0.000 2.362 2.427
1.635 0.000 2.427